Record 1
The following is a PBE-GGA calculation of crystalline KCaIBr2 at its relaxed geometry, from Alexandria via LeMat-Bulk.

ΔE_f (raw) (kJ/mol of formula units): -844

abc: 5.6819 5.6819 6.2503
angles: 90.00 90.00 90.00
Closest atoms and distances in Å follow each position.
Space group P4/mmm (No. 123)
Unique sites:
K 0.0000 0.0000 0.0000 (multiplicity 1)  4 I 4.02, 8 Br 4.22
Ca 0.5000 0.5000 0.5000 (multiplicity 1)  4 Br 2.84, 2 I 3.13
I 0.5000 0.5000 0.0000 (multiplicity 1)  2 Ca 3.13
Br 0.0000 0.5000 0.5000 (multiplicity 2)  2 Ca 2.84


Record 2
The following is a PBE-GGA calculation of crystalline Rb2IrF at its relaxed geometry, from Alexandria via LeMat-Bulk.

ΔE to the lowest computed polymorph (meV/atom): 0
ΔE_f (raw) (kJ/mol of formula units): -80

abc: 8.0344 8.0344 9.1415
angles: 90.00 90.00 90.00
Closest atoms and distances in Å follow each position.
Space group I-42d (No. 122)
Unique sites:
Rb 0.1646 0.2500 0.1250 (multiplicity 8)  2 F 2.66
Ir 0.0000 0.0000 0.5000 (multiplicity 4)  4 Rb 3.55
F 0.0000 0.0000 0.0000 (multiplicity 4)  4 Rb 2.66


Record 3
The following is a PBE-GGA calculation of crystalline LiReAu at its relaxed geometry, from Alexandria via LeMat-Bulk.

ΔE to the lowest computed polymorph (meV/atom): 34

abc: 2.6558 2.6558 13.1665
angles: 90.00 90.00 90.00
Closest atoms and distances in Å follow each position.
Space group I4mm (No. 107)
Unique sites:
Li 0.0000 0.0000 0.0000 (multiplicity 2)  4 Li 2.66, 4 Au 2.83, 4 Re 2.88
Re 0.0000 0.0000 0.6659 (multiplicity 2)  4 Re 2.66, 4 Li 2.88, 4 Au 2.96
Au 0.0000 0.0000 0.3393 (multiplicity 2)  4 Au 2.66, 4 Li 2.83, 4 Re 2.96


Record 4
The following is a PBE-GGA calculation of crystalline PuTl2SnBr6 at its relaxed geometry, from Alexandria via LeMat-Bulk.

ΔE_f (raw) (kJ/mol of formula units): -963

abc: 7.7119 8.3883 13.5210
angles: 90.00 123.33 90.00
Closest atoms and distances in Å follow each position.
Space group P2_1/c (No. 14)
Unique sites:
Pu 0.0000 0.0000 0.0000 (multiplicity 2)  6 Br 2.97-2.98
Tl 0.2912 0.0866 0.7556 (multiplicity 4)  6 Br 3.33-3.61
Sn 0.5000 0.0000 0.5000 (multiplicity 2)  6 Br 3.03-3.05
Br 0.1243 0.0358 0.2489 (multiplicity 4)  1 Pu 2.97, 1 Sn 3.03
Br 0.2412 0.6984 0.0612 (multiplicity 4)  1 Pu 2.98, 1 Sn 3.04
Br 0.3702 0.1872 0.0563 (multiplicity 4)  1 Pu 2.97, 1 Sn 3.05


Record 5
The following is a PBE-GGA calculation of crystalline MgZnSb at its relaxed geometry, from Alexandria via LeMat-Bulk.

ΔE_f (raw) (kJ/mol of formula units): -20

abc: 11.3868 4.1249 6.0859
angles: 90.00 90.00 90.00
Closest atoms and distances in Å follow each position.
Space group Pnma (No. 62)
Unique sites:
Mg 0.1278 0.2500 0.0015 (multiplicity 4)  3 Zn 2.76-2.97, 3 Sb 3.04-3.05
Zn 0.0475 0.7500 0.6844 (multiplicity 4)  3 Sb 2.73-2.79, 3 Mg 2.76-2.97
Sb 0.1746 0.2500 0.5096 (multiplicity 4)  3 Zn 2.73-2.79, 3 Mg 3.04-3.05


Record 6
The following is a PBE-GGA calculation of crystalline Pr5GaAg4 at its relaxed geometry, from Alexandria via LeMat-Bulk.

VASP energy (eV per atom): -4.14

abc: 3.7518 3.7518 19.0160
angles: 90.00 90.00 90.00
Closest atoms and distances in Å follow each position.
Space group P4/mmm (No. 123)
Unique sites:
Pr 0.0000 0.0000 0.0000 (multiplicity 1)  8 Ag 3.27
Pr 0.0000 0.0000 0.2020 (multiplicity 2)  8 Ag 3.26-3.28
Pr 0.0000 0.0000 0.4039 (multiplicity 2)  4 Ga 3.22, 4 Ag 3.29
Ga 0.5000 0.5000 0.5000 (multiplicity 1)  8 Pr 3.22
Ag 0.5000 0.5000 0.1002 (multiplicity 2)  8 Pr 3.27-3.28
Ag 0.5000 0.5000 0.3016 (multiplicity 2)  8 Pr 3.26-3.29


Record 7
The following is a PBE-GGA calculation of crystalline BiOs at its relaxed geometry, from Alexandria via LeMat-Bulk.

ΔE to the lowest computed polymorph (meV/atom): 197

abc: 11.0738 11.0738 4.0504
angles: 90.00 90.00 90.00
Closest atoms and distances in Å follow each position.
Space group I4/m (No. 87)
Unique sites:
Bi 0.0375 0.2948 0.0000 (multiplicity 8)  4 Os 2.68-2.98
Os 0.2041 0.7087 0.0000 (multiplicity 8)  2 Os 2.44, 1 Bi 2.68


Record 8
The following is a PBE-GGA calculation of crystalline YSi2IrRh at its relaxed geometry, from Alexandria via LeMat-Bulk.

ΔE to the lowest computed polymorph (meV/atom): 2965
ΔE_f (raw) (kJ/mol of formula units): 895

abc: 5.0733 5.0733 4.7206
angles: 90.00 90.00 90.00
Closest atoms and distances in Å follow each position.
Space group P4/mmm (No. 123)
Unique sites:
Y 0.0000 0.0000 0.0000 (multiplicity 1)  2 Rh 2.36, 4 Si 2.54
Si 0.0000 0.5000 0.0000 (multiplicity 2)  2 Y 2.54
Ir 0.5000 0.5000 0.5000 (multiplicity 1)  8 Si 3.46, 4 Rh 3.59
Rh 0.0000 0.0000 0.5000 (multiplicity 1)  2 Y 2.36


Record 9
The following is a PBE-GGA calculation of crystalline Ce6CoSn2H at its relaxed geometry, from Alexandria via LeMat-Bulk.

VASP energy (eV per atom): -5.79

abc: 9.9332 9.9332 9.9332
angles: 90.00 90.00 90.00
Closest atoms and distances in Å follow each position.
Space group Fm-3m (No. 225)
Unique sites:
Ce 0.0000 0.0000 0.2406 (multiplicity 24)  1 H 2.39, 1 Co 2.58
Co 0.0000 0.0000 0.5000 (multiplicity 4)  6 Ce 2.58
Sn 0.2500 0.2500 0.2500 (multiplicity 8)  12 Ce 3.51
H 0.0000 0.0000 0.0000 (multiplicity 4)  6 Ce 2.39


Record 10
The following is a PBE-GGA calculation of crystalline LiSO3 at its relaxed geometry, from Alexandria via LeMat-Bulk.

ΔE_f (raw) (kJ/mol of formula units): -685

abc: 9.2341 8.8005 6.0129
angles: 90.00 105.45 90.00
Closest atoms and distances in Å follow each position.
Space group C2/c (No. 15)
Unique sites:
Li 0.0000 0.1012 0.2500 (multiplicity 4)  4 O 2.13-2.26
Li 0.0000 0.2823 0.7500 (multiplicity 4)  6 O 2.14-2.32
S 0.1997 0.4086 0.2723 (multiplicity 8)  3 O 1.49-1.51
O 0.1274 0.2732 0.1391 (multiplicity 8)  1 S 1.49
O 0.1309 0.0992 0.6692 (multiplicity 8)  1 S 1.51
O 0.1442 0.4456 0.6525 (multiplicity 8)  1 S 1.49


Record 11
The following is a PBE-GGA calculation of crystalline Zr2SnSeN at its relaxed geometry, from Alexandria via LeMat-Bulk.

ΔE_f (raw) (kJ/mol of formula units): -128

abc: 4.4932 4.4932 4.8858
angles: 90.00 90.00 90.00
Closest atoms and distances in Å follow each position.
Space group P4/mmm (No. 123)
Unique sites:
Zr 0.0000 0.5000 0.0000 (multiplicity 2)  2 N 2.25
Sn 0.0000 0.0000 0.5000 (multiplicity 1)  2 N 2.44
Se 0.5000 0.5000 0.5000 (multiplicity 1)  4 Sn 3.18, 8 Zr 3.32
N 0.0000 0.0000 0.0000 (multiplicity 1)  4 Zr 2.25, 2 Sn 2.44


Record 12
The following is a PBE-GGA calculation of crystalline Ti2ZnSi at its relaxed geometry, from Alexandria via LeMat-Bulk.

ΔE_f (raw) (kJ/mol of formula units): -161

abc: 3.9253 3.9253 3.8725
angles: 90.00 90.00 90.00
Closest atoms and distances in Å follow each position.
Space group P4/mmm (No. 123)
Unique sites:
Ti 0.0000 0.5000 0.0000 (multiplicity 2)  4 Zn 2.76, 4 Si 2.76, 4 Ti 2.78
Zn 0.0000 0.0000 0.5000 (multiplicity 1)  8 Ti 2.76, 4 Si 2.78
Si 0.5000 0.5000 0.5000 (multiplicity 1)  8 Ti 2.76, 4 Zn 2.78